[1]
ScIn2Se: relaxed, PBE.

```
data_ScIn2Se
_chemical_formula_sum 'Sc1 In2 Se1'
_symmetry_space_group_name_H-M 'P 1'
_symmetry_Int_Tables_number 1
_cell_length_a 9.188
_cell_length_b 9.188
_cell_length_c 9.188
_cell_angle_alpha 23.08
_cell_angle_beta 23.08
_cell_angle_gamma 23.08
loop_
_symmetry_equiv_pos_as_xyz
'x,y,z'
loop_
_atom_site_label
_atom_site_fract_x
_atom_site_fract_y
_atom_site_fract_z
_atom_site_occupancy
In1 0.003 0.003 0.003 1
In2 0.242 0.242 0.242 1
Sc1 0.489 0.489 0.489 1
Se1 0.765 0.765 0.765 1
```

Summary:
Space-group type = No. 160
Raw formation energy = -0.58 eV per atom
Magnetization = 0.00 μB/cell

[2]
ScInSe: relaxed, PBE.

```
data_ScInSe
_chemical_formula_sum 'Sc1 In1 Se1'
_symmetry_space_group_name_H-M 'P 1'
_symmetry_Int_Tables_number 1
_cell_length_a 6.360
_cell_length_b 6.360
_cell_length_c 3.545
_cell_angle_alpha 73.82
_cell_angle_beta 73.82
_cell_angle_gamma 32.37
loop_
_symmetry_equiv_pos_as_xyz
'x,y,z'
loop_
_atom_site_label
_atom_site_fract_x
_atom_site_fract_y
_atom_site_fract_z
_atom_site_occupancy
In1 0.977 0.977 0.023 1
Sc1 0.307 0.307 0.693 1
Se1 0.717 0.717 0.283 1
```

Summary:
Space-group type = No. 107
Energy above the lowest structure with this stoichiometry = 0.0 meV/atom
Raw formation energy = -0.84 eV per atom
Magnetization = 0.00 μB/cell

[3]
ScIn6Se8: relaxed, PBE.

```
data_ScIn6Se8
_chemical_formula_sum 'Sc1 In6 Se8'
_symmetry_space_group_name_H-M 'P 1'
_symmetry_Int_Tables_number 1
_cell_length_a 7.475
_cell_length_b 7.475
_cell_length_c 7.475
_cell_angle_alpha 87.81
_cell_angle_beta 87.81
_cell_angle_gamma 87.81
loop_
_symmetry_equiv_pos_as_xyz
'x,y,z'
loop_
_atom_site_label
_atom_site_fract_x
_atom_site_fract_y
_atom_site_fract_z
_atom_site_occupancy
Sc1 0.000 0.000 0.000 1
In1 0.617 0.376 0.892 1
In2 0.376 0.892 0.617 1
In3 0.892 0.617 0.376 1
In4 0.383 0.624 0.108 1
In5 0.624 0.108 0.383 1
In6 0.108 0.383 0.624 1
Se1 0.665 0.665 0.665 1
Se2 0.335 0.335 0.335 1
Se3 0.699 0.834 0.144 1
Se4 0.834 0.144 0.699 1
Se5 0.144 0.699 0.834 1
Se6 0.301 0.166 0.856 1
Se7 0.166 0.856 0.301 1
Se8 0.856 0.301 0.166 1
```

Summary:
Space-group type = No. 148
Raw formation energy = -0.55 eV per atom
Magnetization = 0.00 μB/cell

[4]
ScInSe3: relaxed, PBE.

```
data_ScInSe3
_chemical_formula_sum 'Sc1 In1 Se3'
_symmetry_space_group_name_H-M 'P 1'
_symmetry_Int_Tables_number 1
_cell_length_a 5.189
_cell_length_b 5.189
_cell_length_c 5.189
_cell_angle_alpha 90.00
_cell_angle_beta 90.00
_cell_angle_gamma 90.00
loop_
_symmetry_equiv_pos_as_xyz
'x,y,z'
loop_
_atom_site_label
_atom_site_fract_x
_atom_site_fract_y
_atom_site_fract_z
_atom_site_occupancy
Sc1 0.500 0.500 0.500 1
Se1 0.000 0.500 0.000 1
Se2 0.000 0.000 0.500 1
Se3 0.500 0.000 0.000 1
In1 0.000 0.000 0.000 1
```

Summary:
Space-group type = No. 221
Energy above the lowest structure with this stoichiometry = 1001.5 meV/atom
Raw formation energy = -0.06 eV per atom
Magnetization = 0.00 μB/cell

[5]
ScIn2Se: relaxed, PBE.

```
data_ScIn2Se
_chemical_formula_sum 'Sc1 In2 Se1'
_symmetry_space_group_name_H-M 'P 1'
_symmetry_Int_Tables_number 1
_cell_length_a 4.818
_cell_length_b 4.818
_cell_length_c 4.035
_cell_angle_alpha 90.00
_cell_angle_beta 90.00
_cell_angle_gamma 90.00
loop_
_symmetry_equiv_pos_as_xyz
'x,y,z'
loop_
_atom_site_label
_atom_site_fract_x
_atom_site_fract_y
_atom_site_fract_z
_atom_site_occupancy
In1 0.000 0.000 0.000 1
In2 0.500 0.500 0.000 1
Sc1 0.500 0.000 0.500 1
Se1 0.000 0.500 0.500 1
```

Summary:
Space-group type = No. 123
Raw formation energy = -0.34 eV per atom
Magnetization = 0.00 μB/cell

[6]
ScIn4Se: relaxed, PBE.

```
data_ScIn4Se
_chemical_formula_sum 'Sc1 In4 Se1'
_symmetry_space_group_name_H-M 'P 1'
_symmetry_Int_Tables_number 1
_cell_length_a 5.990
_cell_length_b 5.990
_cell_length_c 5.990
_cell_angle_alpha 60.00
_cell_angle_beta 60.00
_cell_angle_gamma 60.00
loop_
_symmetry_equiv_pos_as_xyz
'x,y,z'
loop_
_atom_site_label
_atom_site_fract_x
_atom_site_fract_y
_atom_site_fract_z
_atom_site_occupancy
Sc1 0.750 0.750 0.750 1
In1 0.874 0.375 0.375 1
In2 0.375 0.375 0.874 1
In3 0.375 0.874 0.375 1
In4 0.375 0.375 0.375 1
Se1 0.000 0.000 0.000 1
```

Summary:
Space-group type = No. 216
Raw formation energy = 0.04 eV per atom
Magnetization = 0.00 μB/cell